# Ag2PtBr4

A relaxed structure of Ag2PtBr4 (PBE, the Alexandria database).

Computed properties:
- E_tot: -2.84 eV/atom

```
data_Ag2PtBr4
_chemical_formula_sum 'Ag2 Pt1 Br4'
_cell_length_a 7.733
_cell_length_b 7.733
_cell_length_c 8.167
_cell_angle_alpha 117.42
_cell_angle_beta 117.42
_cell_angle_gamma 28.33
_symmetry_space_group_name_H-M 'P 1'
_symmetry_Int_Tables_number 1
loop_
_symmetry_equiv_pos_as_xyz
'x,y,z'
loop_
_atom_site_label
_atom_site_fract_x
_atom_site_fract_y
_atom_site_fract_z
Ag1 0.194 0.194 0.334
Ag2 0.806 0.806 0.666
Pt1 0.000 0.000 0.000
Br1 0.169 0.169 0.644
Br2 0.449 0.449 0.136
Br3 0.551 0.551 0.864
Br4 0.831 0.831 0.356
```


# NdThTeN2

A relaxed structure of NdThTeN2 (PBE, the Alexandria database).

Computed properties:
- E_tot: -7.78 eV/atom

```
data_NdThTeN2
_chemical_formula_sum 'Nd1 Th1 Te1 N2'
_cell_length_a 7.409
_cell_length_b 7.409
_cell_length_c 7.409
_cell_angle_alpha 147.90
_cell_angle_beta 147.90
_cell_angle_gamma 46.04
_symmetry_space_group_name_H-M 'P 1'
_symmetry_Int_Tables_number 1
loop_
_symmetry_equiv_pos_as_xyz
'x,y,z'
loop_
_atom_site_label
_atom_site_fract_x
_atom_site_fract_y
_atom_site_fract_z
Nd1 0.000 0.000 0.000
Th1 0.333 0.333 0.000
Te1 0.667 0.667 0.000
N1 0.411 0.911 0.500
N2 0.911 0.411 0.500
```